{"formula": "Li3GaPb12", "functional": "PBE", "state": "relaxed", "lattice_angstrom": [[-3.0985, 3.4861, 0.9340], [-2.3227, -0.9840, -4.0327], [-11.6928, -13.0503, 9.9190]], "species": ["Li", "Li", "Li", "Ga", "Pb", "Pb", "Pb", "Pb", "Pb", "Pb", "Pb", "Pb", "Pb", "Pb", "Pb", "Pb"], "fractional_positions": [[0.0000, 0.0000, 0.2523], [0.0000, 0.0000, 0.5000], [0.0000, 0.0000, 0.7477], [0.0000, 0.0000, 0.0000], [0.5000, 0.5000, 0.0000], [0.5000, 0.5000, 0.2514], [0.5000, 0.5000, 0.5000], [0.5000, 0.5000, 0.7486], [0.5000, 0.0000, 0.1266], [0.5000, 0.0000, 0.3751], [0.5000, 0.0000, 0.6249], [0.5000, 0.0000, 0.8734], [0.0000, 0.5000, 0.1266], [0.0000, 0.5000, 0.3751], [0.0000, 0.5000, 0.6249], [0.0000, 0.5000, 0.8734]], "final_energy_ev_per_atom": -3.40, "vol_a3_per_atom": 28.47, "dos_at_fermi_per_ev_atom": 0.463, "space_group": "P4/mmm (123)"}

---

{"formula": "LiGaPb", "functional": "PBE", "state": "relaxed", "lattice_angstrom": [[8.9414, 0.0032, -0.0440], [-0.0025, 4.5105, -0.0113], [0.0170, 0.0082, 3.3334]], "species": ["Pb", "Pb", "Ga", "Ga", "Li", "Li"], "fractional_positions": [[0.5053, 0.8917, 0.0858], [0.8761, 0.8915, 0.0844], [0.1037, 0.3916, 0.0884], [0.1841, 0.8916, 0.5874], [0.3645, 0.3917, 0.5872], [0.7061, 0.3917, 0.5838]], "final_energy_ev_per_atom": -3.01, "vol_a3_per_atom": 22.41, "dos_at_fermi_per_ev_atom": 0.329, "space_group": "Pm (6)"}

---

{"formula": "LiGaPb", "functional": "PBE", "state": "relaxed", "lattice_angstrom": [[3.8011, -2.1945, 0.0000], [0.0000, 4.3891, 0.0000], [0.0000, 0.0000, 11.1846]], "species": ["Pb", "Pb", "Ga", "Ga", "Li", "Li"], "fractional_positions": [[0.0000, 0.0000, 0.0000], [0.0000, 0.0000, 0.5000], [0.0000, 0.0000, 0.2500], [0.0000, 0.0000, 0.7500], [0.3333, 0.6667, 0.2500], [0.6667, 0.3333, 0.7500]], "final_energy_ev_per_atom": -2.48, "vol_a3_per_atom": 31.10, "dos_at_fermi_per_ev_atom": 0.752, "space_group": "P6_3/mmc (194)"}

---

{"formula": "LiGaPb", "functional": "PBE", "state": "relaxed", "lattice_angstrom": [[-0.3329, 3.0983, 6.1386], [2.2382, -3.1152, 1.6937], [7.8283, 4.5944, -1.8944]], "species": ["Pb", "Pb", "Pb", "Pb", "Ga", "Ga", "Ga", "Ga", "Li", "Li", "Li", "Li"], "fractional_positions": [[0.6441, 0.2500, 0.0924], [0.8559, 0.7500, 0.5924], [0.3559, 0.7500, 0.9076], [0.1441, 0.2500, 0.4076], [0.1025, 0.2500, 0.0718], [0.3975, 0.7500, 0.5718], [0.8975, 0.7500, 0.9282], [0.6025, 0.2500, 0.4282], [0.1166, 0.2500, 0.7467], [0.3834, 0.7500, 0.2467], [0.8834, 0.7500, 0.2533], [0.6166, 0.2500, 0.7533]], "final_energy_ev_per_atom": -3.01, "vol_a3_per_atom": 22.31, "dos_at_fermi_per_ev_atom": 0.345, "space_group": "Pnma (62)"}

---

{"formula": "Li3GaPb", "functional": "PBE", "state": "relaxed", "lattice_angstrom": [[4.8797, 0.0000, 0.0000], [0.0000, 8.1510, -0.0423], [0.0000, -1.4034, 4.6862]], "species": ["Li", "Li", "Li", "Li", "Li", "Li", "Ga", "Ga", "Pb", "Pb"], "fractional_positions": [[0.6244, 0.8372, 0.5227], [0.6244, 0.0524, 0.1069], [0.1244, 0.4569, 0.7191], [0.1244, 0.2613, 0.1246], [0.1244, 0.0461, 0.5403], [0.6244, 0.6415, 0.9282], [0.6244, 0.4710, 0.3203], [0.1244, 0.6275, 0.3269], [0.6244, 0.2472, 0.6978], [0.1244, 0.8512, 0.9494]], "e_above_lowest_polymorph_mev_per_atom": 0.0, "vol_a3_per_atom": 18.61, "dos_at_fermi_per_ev_atom": 0.097, "space_group": "P2_1/m (11)"}

---

{"formula": "Li7GaPb4", "functional": "PBE", "state": "relaxed", "lattice_angstrom": [[-0.0107, 4.4044, 2.3775], [-3.7744, -1.2301, 7.5302], [5.7470, 0.4918, 4.3833]], "species": ["Li", "Li", "Li", "Li", "Li", "Li", "Li", "Ga", "Pb", "Pb", "Pb", "Pb"], "fractional_positions": [[0.7859, 0.8617, 0.5665], [0.2141, 0.1383, 0.4335], [0.0621, 0.6754, 0.2004], [0.9379, 0.3246, 0.7996], [0.3593, 0.5800, 0.7014], [0.5000, 0.0000, 0.0000], [0.6407, 0.4200, 0.2986], [0.0000, 0.0000, 0.0000], [0.5749, 0.2029, 0.6474], [0.4251, 0.7971, 0.3526], [0.7023, 0.6535, 0.9420], [0.2977, 0.3465, 0.0580]], "final_energy_ev_per_atom": -2.76, "vol_a3_per_atom": 23.00, "dos_at_fermi_per_ev_atom": 0.224, "space_group": "C2/m (12)"}

---

{"formula": "LiGaPb3", "functional": "PBE", "state": "relaxed", "lattice_angstrom": [[5.2067, 0.0000, 0.0000], [0.0000, 5.2067, 0.0000], [0.0000, 0.0000, 5.2067]], "species": ["Pb", "Pb", "Pb", "Ga", "Li"], "fractional_positions": [[0.0000, 0.5000, 0.0000], [0.0000, 0.0000, 0.5000], [0.5000, 0.0000, 0.0000], [0.5000, 0.5000, 0.5000], [0.0000, 0.0000, 0.0000]], "e_above_lowest_polymorph_mev_per_atom": 0.0, "vol_a3_per_atom": 28.23, "dos_at_fermi_per_ev_atom": 0.637, "space_group": "Pm-3m (221)"}

---

{"formula": "Li6GaPb5", "functional": "PBE", "state": "relaxed", "lattice_angstrom": [[-4.5028, -1.6274, -1.4623], [1.8663, -6.4490, 1.4301], [-4.8005, 0.0067, 6.2947]], "species": ["Pb", "Pb", "Pb", "Pb", "Pb", "Ga", "Li", "Li", "Li", "Li", "Li", "Li"], "fractional_positions": [[0.6688, 0.5000, 0.6628], [0.3339, 0.0000, 0.3328], [0.0000, 0.5000, 0.0000], [0.6661, 0.0000, 0.6672], [0.3312, 0.5000, 0.3372], [0.0000, 0.0000, 0.0000], [0.8396, 0.7587, 0.3206], [0.8396, 0.2413, 0.3206], [0.5000, 0.2383, 0.0000], [0.5000, 0.7617, 0.0000], [0.1604, 0.7587, 0.6794], [0.1604, 0.2413, 0.6794]], "final_energy_ev_per_atom": -3.00, "vol_a3_per_atom": 21.53, "dos_at_fermi_per_ev_atom": 0.385, "space_group": "P2/m (10)"}

---

{"formula": "Li3GaPb", "functional": "PBE", "state": "relaxed", "lattice_angstrom": [[-1.5707, -3.6420, -3.3497], [-1.9868, -2.7545, 3.9264], [-4.5318, 2.4699, -0.5604]], "species": ["Pb", "Ga", "Li", "Li", "Li"], "fractional_positions": [[0.0000, 0.0000, 0.0000], [0.5000, 0.5000, 0.5000], [0.0000, 0.5000, 0.0000], [0.0000, 0.0000, 0.5000], [0.5000, 0.0000, 0.0000]], "e_above_lowest_polymorph_mev_per_atom": 454.3, "vol_a3_per_atom": 27.98, "dos_at_fermi_per_ev_atom": 0.230, "space_group": "Pm-3m (221)"}

---

{"formula": "Li2GaPb", "functional": "PBE", "state": "relaxed", "lattice_angstrom": [[-1.7001, -0.8418, -3.7252], [1.4143, -4.0765, 0.2757], [-3.6881, -1.1481, 1.9426]], "species": ["Pb", "Ga", "Li", "Li"], "fractional_positions": [[0.5000, 0.5000, 0.5000], [0.5000, 0.0000, 0.0000], [0.0000, 0.0000, 0.5000], [0.0000, 0.5000, 0.0000]], "final_energy_ev_per_atom": -2.87, "vol_a3_per_atom": 19.54, "dos_at_fermi_per_ev_atom": 0.431, "space_group": "P4/mmm (123)"}

---

{"formula": "Li6GaPb2", "functional": "PBE", "state": "relaxed", "lattice_angstrom": [[-2.0831, 1.3633, -1.8074], [4.1868, -2.1795, -6.4696], [-7.6424, -3.6117, 1.2276]], "species": ["Li", "Li", "Li", "Li", "Li", "Li", "Ga", "Pb", "Pb"], "fractional_positions": [[0.1680, 0.3285, 0.3286], [0.8320, 0.9999, 0.6714], [0.8320, 0.6715, 0.6714], [0.5000, 0.3280, 0.0000], [0.1680, 0.0001, 0.3286], [0.5000, 0.6720, 0.0000], [0.0000, 0.0000, 0.0000], [0.6676, 0.6663, 0.3326], [0.3324, 0.3337, 0.6674]], "final_energy_ev_per_atom": -2.68, "vol_a3_per_atom": 19.12, "dos_at_fermi_per_ev_atom": 0.180, "space_group": "C2/m (12)"}

---

{"formula": "LiGaPb6", "functional": "PBE", "state": "relaxed", "lattice_angstrom": [[5.6838, 0.1904, 0.2046], [-1.9378, 5.3466, 0.2046], [-0.4134, -0.6110, 7.9747]], "species": ["Li", "Ga", "Pb", "Pb", "Pb", "Pb", "Pb", "Pb"], "fractional_positions": [[0.0000, 0.0000, 0.0000], [0.5000, 0.5000, 0.5000], [0.1318, 0.1318, 0.6587], [0.5532, 0.1818, 0.1742], [0.8682, 0.8682, 0.3413], [0.8182, 0.4468, 0.8258], [0.4468, 0.8182, 0.8258], [0.1818, 0.5532, 0.1742]], "final_energy_ev_per_atom": -3.35, "vol_a3_per_atom": 30.83, "dos_at_fermi_per_ev_atom": 0.385, "space_group": "C2/m (12)"}

---

{"formula": "LiGaPb", "functional": "PBE", "state": "relaxed", "lattice_angstrom": [[3.9970, 0.0000, 0.0000], [0.0000, 3.9970, 0.0000], [0.0000, 0.0000, 7.9264]], "species": ["Pb", "Pb", "Ga", "Ga", "Li", "Li"], "fractional_positions": [[0.0000, 0.5000, 0.8649], [0.5000, 0.0000, 0.1351], [0.0000, 0.0000, 0.5000], [0.5000, 0.5000, 0.5000], [0.0000, 0.5000, 0.2558], [0.5000, 0.0000, 0.7442]], "final_energy_ev_per_atom": -3.01, "vol_a3_per_atom": 21.11, "dos_at_fermi_per_ev_atom": 0.404, "space_group": "P4/nmm (129)"}

---

{"formula": "LiGaPb", "functional": "PBE", "state": "relaxed", "lattice_angstrom": [[8.6355, 0.0000, 0.0000], [0.0000, 3.2561, 0.0000], [0.0000, 0.0000, 4.7926]], "species": ["Pb", "Pb", "Ga", "Ga", "Li", "Li"], "fractional_positions": [[0.2500, 0.5000, 0.9989], [0.7500, 0.5000, 0.0011], [0.0000, 0.5000, 0.5000], [0.5000, 0.5000, 0.5000], [0.2500, 0.0000, 0.4986], [0.7500, 0.0000, 0.5014]], "final_energy_ev_per_atom": -2.92, "vol_a3_per_atom": 22.46, "dos_at_fermi_per_ev_atom": 0.476, "space_group": "Pmma (51)"}

---

{"formula": "LiGaPb", "functional": "PBE", "state": "relaxed", "lattice_angstrom": [[3.6618, 0.0000, 0.0000], [0.0000, 3.6618, 0.0000], [-1.8309, -1.8309, 4.9926]], "species": ["Pb", "Ga", "Li"], "fractional_positions": [[0.9487, 0.9487, 0.8973], [0.2707, 0.2707, 0.5414], [0.6307, 0.6307, 0.2613]], "final_energy_ev_per_atom": -3.00, "vol_a3_per_atom": 22.31, "dos_at_fermi_per_ev_atom": 0.522, "space_group": "I4mm (107)"}

---

{"formula": "LiGaPb", "functional": "PBE", "state": "relaxed", "lattice_angstrom": [[-2.5177, 1.9631, -4.6512], [-4.9450, 0.0880, 2.7139], [1.5926, 8.2817, 2.6334]], "species": ["Pb", "Pb", "Pb", "Pb", "Ga", "Ga", "Ga", "Ga", "Li", "Li", "Li", "Li"], "fractional_positions": [[0.5000, 0.7978, 0.0000], [0.5000, 0.2022, 0.5000], [0.2022, 0.5000, 0.2500], [0.7978, 0.5000, 0.7500], [0.7354, 0.7354, 0.3750], [0.2646, 0.2646, 0.8750], [0.2646, 0.7354, 0.6250], [0.7354, 0.2646, 0.1250], [0.0000, 0.7695, 0.0000], [0.0000, 0.2305, 0.5000], [0.2305, 0.0000, 0.2500], [0.7695, 0.0000, 0.7500]], "final_energy_ev_per_atom": -2.89, "vol_a3_per_atom": 23.43, "dos_at_fermi_per_ev_atom": 0.355, "space_group": "P4_122 (91)"}

---

{"formula": "LiGaPb", "functional": "PBE", "state": "relaxed", "lattice_angstrom": [[-2.8051, 7.2982, -1.2257], [-4.1356, -2.9429, -0.4810], [-0.1776, -0.3295, 3.4183]], "species": ["Pb", "Pb", "Ga", "Ga", "Li", "Li"], "fractional_positions": [[0.3252, 0.6868, 0.9124], [0.6748, 0.3132, 0.0876], [0.0087, 0.2193, 0.7514], [0.9913, 0.7807, 0.2486], [0.3207, 0.1843, 0.4101], [0.6793, 0.8157, 0.5899]], "final_energy_ev_per_atom": -3.03, "vol_a3_per_atom": 21.90, "dos_at_fermi_per_ev_atom": 0.429, "space_group": "P-1 (2)"}

---

{"formula": "Li2GaPb", "functional": "PBE", "state": "relaxed", "lattice_angstrom": [[7.5897, 0.0000, 0.0000], [0.0000, 7.5897, 0.0000], [3.7948, 3.7948, 3.0055]], "species": ["Pb", "Pb", "Ga", "Ga", "Li", "Li", "Li", "Li"], "fractional_positions": [[0.0000, 0.0000, 0.0000], [0.7500, 0.2500, 0.5000], [0.5000, 0.5000, 0.0000], [0.2500, 0.7500, 0.5000], [0.6027, 0.1250, 0.2500], [0.1473, 0.6250, 0.2500], [0.3750, 0.3973, 0.7500], [0.8750, 0.8527, 0.7500]], "final_energy_ev_per_atom": -2.68, "vol_a3_per_atom": 21.64, "dos_at_fermi_per_ev_atom": 0.458, "space_group": "I-42d (122)"}

---

{"formula": "LiGaPb", "functional": "PBE", "state": "relaxed", "lattice_angstrom": [[4.3448, -0.0052, 0.0255], [-0.0486, 6.6261, 0.0755], [2.1622, -1.7409, 4.6300]], "species": ["Pb", "Pb", "Ga", "Ga", "Li", "Li"], "fractional_positions": [[0.3219, 0.2793, 0.2977], [0.9708, 0.5255, 0.0006], [0.6751, 0.0625, 0.5925], [0.3034, 0.8163, 0.3370], [0.9946, 0.9853, 0.9513], [0.6445, 0.6485, 0.6536]], "final_energy_ev_per_atom": -3.01, "vol_a3_per_atom": 22.25, "dos_at_fermi_per_ev_atom": 0.301, "space_group": "P1 (1)"}

---

{"formula": "LiGaPb", "functional": "PBE", "state": "relaxed", "lattice_angstrom": [[7.9873, -0.1069, -0.0040], [-1.4817, 4.4996, 0.0096], [0.0017, -0.0073, 3.6615]], "species": ["Pb", "Pb", "Ga", "Ga", "Li", "Li"], "fractional_positions": [[0.3653, 0.6781, 0.8511], [0.6847, 0.3519, 0.8511], [0.0250, 0.5146, 0.3510], [0.0250, 0.0146, 0.8510], [0.3157, 0.1510, 0.3511], [0.7346, 0.8791, 0.3511]], "final_energy_ev_per_atom": -3.03, "vol_a3_per_atom": 21.84, "dos_at_fermi_per_ev_atom": 0.317, "space_group": "P2/m (10)"}